# Dy4FeO7, optimized geometry, DFT PBE+U
# Final energy = -8.01 eV/atom
# Crystal system = monoclinic
data_Dy4FeO7
_symmetry_space_group_name_H-M 'C 1 m 1'
_symmetry_Int_Tables_number 8
_symmetry_space_group_name_Hall 'C -2y'
_cell_length_a 10.717
_cell_length_b 3.275
_cell_length_c 9.453
_cell_angle_alpha 90.00
_cell_angle_beta 106.38
_cell_angle_gamma 90.00
loop_
_atom_site_label
_atom_site_type_symbol
_atom_site_fract_x
_atom_site_fract_y
_atom_site_fract_z
Dy1 Dy 0.000 0.000 0.000
Dy2 Dy 0.073 0.500 0.355
Dy3 Dy 0.194 0.000 0.766
Dy4 Dy 0.382 0.500 0.562
Fe1 Fe 0.278 0.500 0.152
O1 O 0.038 0.500 0.623
O2 O 0.134 0.500 0.936
O3 O 0.150 0.000 0.218
O4 O 0.226 0.000 0.521
O5 O 0.340 0.500 0.784
O6 O 0.399 0.000 0.084
O7 O 0.426 0.500 0.347